[1]
# Cu2HgAsS4 | the Alexandria database | PBE | optimized geometry
# Uncorrected formation energy ... -0.1240 eV/atom
data_Cu2HgAsS4
_cell_length_a 5.579
_cell_length_b 5.579
_cell_length_c 6.755
_cell_angle_alpha 114.38
_cell_angle_beta 114.38
_cell_angle_gamma 90.02
_space_group_name_H-M_alt 'P 1'
_space_group_IT_number 1
loop_
_space_group_symop_operation_xyz
'x,y,z'
loop_
_atom_site_label
_atom_site_type_symbol
_atom_site_fract_x
_atom_site_fract_y
_atom_site_fract_z
_atom_site_occupancy
S1 S 0.123 0.123 0.717 1
Hg1 Hg 0.000 0.000 0.001 1
Cu1 Cu 0.250 0.750 0.500 1
S2 S 0.877 0.406 0.283 1
S3 S 0.594 0.594 0.717 1
As1 As 0.500 0.500 0.000 1
S4 S 0.406 0.877 0.283 1
Cu2 Cu 0.750 0.250 0.500 1

=====

[2]
# Tb6HgAs2Se3 | the Alexandria database | PBE | optimized geometry
# Uncorrected formation energy ... -1.4909 eV/atom
data_Tb6HgAs2Se3
_cell_length_a 4.109
_cell_length_b 8.400
_cell_length_c 9.298
_cell_angle_alpha 103.00
_cell_angle_beta 102.76
_cell_angle_gamma 90.00
_space_group_name_H-M_alt 'P 1'
_space_group_IT_number 1
loop_
_space_group_symop_operation_xyz
'x,y,z'
loop_
_atom_site_label
_atom_site_type_symbol
_atom_site_fract_x
_atom_site_fract_y
_atom_site_fract_z
_atom_site_occupancy
As1 As 0.167 0.335 0.334 1
Se1 Se 0.500 0.500 0.000 1
Tb1 Tb 0.331 0.907 0.663 1
Tb2 Tb 0.002 0.259 0.004 1
Tb3 Tb 0.669 0.093 0.337 1
Tb4 Tb 0.330 0.423 0.659 1
Tb5 Tb 0.670 0.577 0.341 1
As2 As 0.833 0.665 0.666 1
Tb6 Tb 0.998 0.741 0.996 1
Hg1 Hg 0.500 0.000 0.000 1
Se2 Se 0.832 0.168 0.664 1
Se3 Se 0.168 0.832 0.336 1

=====

[3]
# ZrAsRu2 | the Alexandria database | PBE | optimized geometry
# Formation enthalpy at 0 K ... -82 kJ/mol of formula units
data_ZrAsRu2
_cell_length_a 4.111
_cell_length_b 3.006
_cell_length_c 5.462
_cell_angle_alpha 76.45
_cell_angle_beta 90.00
_cell_angle_gamma 90.00
_space_group_name_H-M_alt 'P 1'
_space_group_IT_number 1
loop_
_space_group_symop_operation_xyz
'x,y,z'
loop_
_atom_site_label
_atom_site_type_symbol
_atom_site_fract_x
_atom_site_fract_y
_atom_site_fract_z
_atom_site_occupancy
Ru1 Ru 0.000 0.893 0.978 1
Zr1 Zr 0.500 0.250 0.250 1
Ru2 Ru 0.000 0.607 0.522 1
As1 As 0.500 0.750 0.750 1

=====

[4]
# TlSi3 | the Alexandria database | PBE | optimized geometry
# Energy relative to the lowest polymorph listed for this composition ... 0.4636 eV per atom
# Uncorrected formation energy ... 0.8298 eV/atom
data_TlSi3
_cell_length_a 5.402
_cell_length_b 5.402
_cell_length_c 5.402
_cell_angle_alpha 90.00
_cell_angle_beta 90.00
_cell_angle_gamma 90.00
_space_group_name_H-M_alt 'P 1'
_space_group_IT_number 1
loop_
_space_group_symop_operation_xyz
'x,y,z'
loop_
_atom_site_label
_atom_site_type_symbol
_atom_site_fract_x
_atom_site_fract_y
_atom_site_fract_z
_atom_site_occupancy
Tl1 Tl 0.000 0.000 0.000 1
Si1 Si 0.750 0.500 0.000 1
Si2 Si 0.500 0.000 0.750 1
Si3 Si 0.000 0.750 0.500 1
Si4 Si 0.500 0.000 0.250 1
Si5 Si 0.250 0.500 0.000 1
Si6 Si 0.000 0.250 0.500 1
Tl2 Tl 0.500 0.500 0.500 1

=====

[5]
# La2Nd2Pt2Rh | the Alexandria database | PBE | optimized geometry
# Formation enthalpy at 0 K ... -574 kJ/mol of formula units
data_La2Nd2Pt2Rh
_cell_length_a 4.005
_cell_length_b 8.170
_cell_length_c 7.470
_cell_angle_alpha 59.09
_cell_angle_beta 74.45
_cell_angle_gamma 75.81
_space_group_name_H-M_alt 'P 1'
_space_group_IT_number 1
loop_
_space_group_symop_operation_xyz
'x,y,z'
loop_
_atom_site_label
_atom_site_type_symbol
_atom_site_fract_x
_atom_site_fract_y
_atom_site_fract_z
_atom_site_occupancy
Rh1 Rh 0.000 0.000 0.000 1
Nd1 Nd 0.215 0.723 0.846 1
Pt1 Pt 0.118 0.450 0.313 1
La1 La 0.469 0.761 0.300 1
Nd2 Nd 0.785 0.277 0.154 1
La2 La 0.531 0.239 0.700 1
Pt2 Pt 0.882 0.550 0.687 1

=====

[6]
# PaSi4Ir4 | the Alexandria database | PBE | optimized geometry
# Uncorrected formation energy ... -0.5765 eV/atom
data_PaSi4Ir4
_cell_length_a 6.004
_cell_length_b 6.004
_cell_length_c 8.026
_cell_angle_alpha 90.00
_cell_angle_beta 90.00
_cell_angle_gamma 90.00
_space_group_name_H-M_alt 'P 1'
_space_group_IT_number 1
loop_
_space_group_symop_operation_xyz
'x,y,z'
loop_
_atom_site_label
_atom_site_type_symbol
_atom_site_fract_x
_atom_site_fract_y
_atom_site_fract_z
_atom_site_occupancy
Si1 Si 0.500 0.795 0.823 1
Ir1 Ir 0.772 0.500 0.876 1
Ir2 Ir 0.000 0.272 0.376 1
Ir3 Ir 0.500 0.228 0.124 1
Ir4 Ir 0.272 0.000 0.624 1
Ir5 Ir 0.728 0.000 0.624 1
Pa1 Pa 0.500 0.500 0.500 1
Ir6 Ir 0.500 0.772 0.124 1
Si2 Si 0.205 0.500 0.177 1
Pa2 Pa 0.000 0.000 0.000 1
Si3 Si 0.000 0.295 0.677 1
Si4 Si 0.705 0.000 0.323 1
Ir7 Ir 0.228 0.500 0.876 1
Si5 Si 0.795 0.500 0.177 1
Ir8 Ir 0.000 0.728 0.376 1
Si6 Si 0.000 0.705 0.677 1
Si7 Si 0.500 0.205 0.823 1
Si8 Si 0.295 0.000 0.323 1

=====

[7]
# Rb2Na6TlCd | the Alexandria database | PBE | optimized geometry
# Formation enthalpy at 0 K ... 17 kJ/mol of formula units
data_Rb2Na6TlCd
_cell_length_a 8.670
_cell_length_b 8.670
_cell_length_c 8.670
_cell_angle_alpha 60.00
_cell_angle_beta 60.00
_cell_angle_gamma 90.00
_space_group_name_H-M_alt 'P 1'
_space_group_IT_number 1
loop_
_space_group_symop_operation_xyz
'x,y,z'
loop_
_atom_site_label
_atom_site_type_symbol
_atom_site_fract_x
_atom_site_fract_y
_atom_site_fract_z
_atom_site_occupancy
Tl1 Tl 0.500 0.500 0.000 1
Na1 Na 0.249 0.751 0.000 1
Rb1 Rb 0.750 0.250 0.500 1
Rb2 Rb 0.250 0.750 0.500 1
Na2 Na 0.751 0.751 0.000 1
Cd1 Cd 0.000 0.000 0.000 1
Na3 Na 0.751 0.249 0.000 1
Na4 Na 0.249 0.249 0.501 1
Na5 Na 0.249 0.249 0.000 1
Na6 Na 0.751 0.751 0.499 1

=====

[8]
# NbTeAuN2 | the Alexandria database | PBE | optimized geometry
# Energy relative to the lowest polymorph listed for this composition ... 1.5354 eV per atom
# Uncorrected formation energy ... 1.9231 eV/atom
data_NbTeAuN2
_cell_length_a 4.002
_cell_length_b 4.002
_cell_length_c 5.816
_cell_angle_alpha 90.00
_cell_angle_beta 90.00
_cell_angle_gamma 90.00
_space_group_name_H-M_alt 'P 1'
_space_group_IT_number 1
loop_
_space_group_symop_operation_xyz
'x,y,z'
loop_
_atom_site_label
_atom_site_type_symbol
_atom_site_fract_x
_atom_site_fract_y
_atom_site_fract_z
_atom_site_occupancy
N1 N 0.500 0.000 0.000 1
Au1 Au 0.000 0.000 0.000 1
Te1 Te 0.000 0.000 0.500 1
N2 N 0.000 0.500 0.000 1
Nb1 Nb 0.500 0.500 0.500 1

=====

The VASP energy results, record by record, are as follows: -3.831, -5.477, -8.151, -3.829, -6.396, -7.980, -1.296, -4.705 eV/atom.